{
  "formula": "TmSi2Ir",
  "functional": "PBE-GGA",
  "state": "optimized geometry",
  "n_ef_per_ev_cell": 4.34,
  "space_group": "Immm, No. 71",
  "e_form_raw_ev_per_atom": -0.945,
  "cell": [[-2.067, 4.295, 7.883], [2.067, -4.295, 7.883], [2.067, 4.295, -7.883]],
  "species": ["Tm", "Tm", "Tm", "Tm", "Si", "Si", "Si", "Si", "Si", "Si", "Si", "Si", "Ir", "Ir", "Ir", "Ir"],
  "frac_coords": [[0.205, 0.205, 0.000], [0.244, 0.000, 0.244], [0.756, 0.000, 0.756], [0.795, 0.795, 0.000], [0.074, 0.574, 0.500], [0.146, 0.798, 0.348], [0.424, 0.424, 0.000], [0.450, 0.798, 0.652], [0.550, 0.202, 0.348], [0.576, 0.576, 0.000], [0.854, 0.202, 0.652], [0.926, 0.426, 0.500], [0.106, 0.355, 0.751], [0.396, 0.645, 0.751], [0.604, 0.355, 0.249], [0.894, 0.645, 0.249]]
}